The following is a DFT calculation (GGA-PBE) of an optimized crystal structure of Cu6HPd12.

Values from the calculation:
The electronic total energy comes out at -4.703 eV/atom. The space-group type is R-3.

Unit cell a=7.168 b=7.168 c=7.168 alpha=110.88 beta=110.88 gamma=110.88
Positions (direct):
Cu (0.053, 0.581, 0.369)
Cu (0.369, 0.053, 0.581)
Cu (0.419, 0.631, 0.947)
Cu (0.581, 0.369, 0.053)
Cu (0.631, 0.947, 0.419)
Cu (0.947, 0.419, 0.631)
H (0.000, 0.000, 0.000)
Pd (0.108, 0.159, 0.741)
Pd (0.159, 0.741, 0.108)
Pd (0.207, 0.316, 0.474)
Pd (0.259, 0.892, 0.841)
Pd (0.316, 0.474, 0.207)
Pd (0.474, 0.207, 0.316)
Pd (0.526, 0.793, 0.684)
Pd (0.684, 0.526, 0.793)
Pd (0.741, 0.108, 0.159)
Pd (0.793, 0.684, 0.526)
Pd (0.841, 0.259, 0.892)
Pd (0.892, 0.841, 0.259)